Entry 1:
CuH6C4IN4: relaxed, PBE.

- Final energy: -6.12 eV per atom
- Polymorph energy (0 for the lowest one): 0.000 eV per atom

Cell lengths 10.319, 3.981, 17.322 Å; angles 90.00, 96.86, 90.00 degrees
Element x y z (fractional)
Cu: 0.041 0.107 0.200
Cu: 0.041 0.393 0.700
Cu: 0.959 0.607 0.300
Cu: 0.959 0.893 0.800
H: 0.062 0.680 0.562
H: 0.062 0.820 0.062
H: 0.167 0.733 0.490
H: 0.167 0.767 0.990
H: 0.279 0.033 0.749
H: 0.279 0.467 0.249
H: 0.360 0.587 0.892
H: 0.360 0.913 0.392
H: 0.408 0.652 0.473
H: 0.408 0.848 0.973
H: 0.499 0.563 0.206
H: 0.499 0.937 0.706
H: 0.501 0.063 0.294
H: 0.501 0.437 0.794
H: 0.592 0.152 0.027
H: 0.592 0.348 0.527
H: 0.640 0.087 0.608
H: 0.640 0.413 0.108
H: 0.721 0.533 0.751
H: 0.721 0.967 0.251
H: 0.833 0.233 0.010
H: 0.833 0.267 0.510
H: 0.938 0.180 0.938
H: 0.938 0.320 0.438
C: 0.241 0.049 0.085
C: 0.241 0.451 0.585
C: 0.305 0.140 0.695
C: 0.305 0.360 0.195
C: 0.425 0.088 0.671
C: 0.425 0.412 0.171
C: 0.451 0.244 0.601
C: 0.451 0.256 0.101
C: 0.549 0.744 0.899
C: 0.549 0.756 0.399
C: 0.575 0.588 0.829
C: 0.575 0.912 0.329
C: 0.695 0.640 0.805
C: 0.695 0.860 0.305
C: 0.759 0.549 0.415
C: 0.759 0.951 0.915
I: 0.115 0.113 0.352
I: 0.115 0.387 0.852
I: 0.885 0.613 0.148
I: 0.885 0.887 0.648
N: 0.146 0.614 0.539
N: 0.146 0.886 0.039
N: 0.210 0.173 0.154
N: 0.210 0.327 0.654
N: 0.357 0.081 0.058
N: 0.357 0.419 0.558
N: 0.431 0.725 0.923
N: 0.431 0.775 0.423
N: 0.569 0.225 0.577
N: 0.569 0.275 0.077
N: 0.643 0.581 0.442
N: 0.643 0.919 0.942
N: 0.790 0.673 0.346
N: 0.790 0.827 0.846
N: 0.854 0.114 0.961
N: 0.854 0.386 0.461


Entry 2:
CuH28C20IN4: relaxed, PBE.

- Final energy: -5.95 eV per atom

Cell lengths 8.767, 9.523, 12.780 Å; angles 107.91, 96.55, 100.13 degrees
Element x y z (fractional)
Cu: 0.006 0.446 0.213
Cu: 0.994 0.554 0.787
H: 0.002 0.062 0.210
H: 0.045 0.127 0.456
H: 0.118 0.663 0.560
H: 0.138 0.542 0.427
H: 0.141 0.501 0.023
H: 0.159 0.853 0.894
H: 0.168 0.736 0.045
H: 0.196 0.169 0.921
H: 0.220 0.027 0.335
H: 0.266 0.809 0.694
H: 0.269 0.976 0.026
H: 0.290 0.643 0.314
H: 0.303 0.435 0.972
H: 0.310 0.114 0.546
H: 0.310 0.988 0.677
H: 0.370 0.899 0.918
H: 0.371 0.590 0.572
H: 0.371 0.683 0.812
H: 0.379 0.841 0.363
H: 0.415 0.665 0.109
H: 0.436 0.301 0.406
H: 0.440 0.864 0.146
H: 0.446 0.554 0.866
H: 0.452 0.331 0.720
H: 0.455 0.608 0.456
H: 0.463 0.912 0.728
H: 0.466 0.892 0.531
H: 0.480 0.235 0.968
H: 0.520 0.765 0.032
H: 0.534 0.108 0.469
H: 0.537 0.088 0.272
H: 0.545 0.392 0.544
H: 0.548 0.669 0.280
H: 0.554 0.446 0.134
H: 0.560 0.136 0.854
H: 0.564 0.699 0.594
H: 0.585 0.335 0.891
H: 0.621 0.159 0.637
H: 0.629 0.317 0.188
H: 0.629 0.410 0.428
H: 0.630 0.101 0.082
H: 0.690 0.012 0.323
H: 0.690 0.886 0.454
H: 0.697 0.565 0.028
H: 0.710 0.357 0.686
H: 0.731 0.024 0.974
H: 0.734 0.191 0.306
H: 0.780 0.973 0.665
H: 0.804 0.831 0.079
H: 0.832 0.264 0.955
H: 0.841 0.147 0.106
H: 0.859 0.499 0.977
H: 0.862 0.458 0.573
H: 0.882 0.337 0.440
H: 0.955 0.873 0.544
H: 0.998 0.938 0.790
C: 0.010 0.948 0.208
C: 0.049 0.343 0.576
C: 0.080 0.322 0.866
C: 0.099 0.179 0.864
C: 0.113 0.218 0.529
C: 0.114 0.654 0.471
C: 0.133 0.929 0.278
C: 0.144 0.783 0.274
C: 0.192 0.464 0.946
C: 0.260 0.213 0.580
C: 0.265 0.740 0.997
C: 0.267 0.874 0.956
C: 0.268 0.452 0.719
C: 0.270 0.758 0.354
C: 0.337 0.576 0.828
C: 0.338 0.331 0.676
C: 0.352 0.884 0.669
C: 0.379 0.809 0.550
C: 0.419 0.759 0.075
C: 0.446 0.669 0.542
C: 0.554 0.331 0.458
C: 0.581 0.241 0.925
C: 0.621 0.191 0.450
C: 0.648 0.116 0.331
C: 0.662 0.669 0.324
C: 0.663 0.424 0.172
C: 0.730 0.242 0.646
C: 0.732 0.548 0.281
C: 0.733 0.126 0.044
C: 0.735 0.260 0.003
C: 0.740 0.787 0.420
C: 0.808 0.536 0.054
C: 0.856 0.217 0.726
C: 0.867 0.071 0.722
C: 0.886 0.346 0.529
C: 0.887 0.782 0.471
C: 0.901 0.821 0.136
C: 0.920 0.678 0.134
C: 0.951 0.657 0.424
C: 0.990 0.052 0.792
I: 0.222 0.307 0.195
I: 0.778 0.693 0.805
N: 0.041 0.660 0.200
N: 0.126 0.459 0.669
N: 0.219 0.592 0.903
N: 0.234 0.781 0.467
N: 0.766 0.219 0.533
N: 0.781 0.408 0.097
N: 0.874 0.541 0.331
N: 0.959 0.340 0.800


Entry 3:
CuH3C4IN: relaxed, PBE.

- Final energy: -6.09 eV per atom

Cell lengths 4.273, 7.714, 9.020 Å; angles 113.26, 93.68, 101.54 degrees
Element x y z (fractional)
Cu: 0.190 0.087 0.430
Cu: 0.810 0.913 0.570
H: 0.287 0.166 0.804
H: 0.338 0.602 0.934
H: 0.408 0.646 0.679
H: 0.592 0.354 0.321
H: 0.662 0.398 0.066
H: 0.713 0.834 0.196
C: 0.012 0.008 0.924
C: 0.261 0.156 0.920
C: 0.426 0.258 0.208
C: 0.465 0.282 0.063
C: 0.535 0.718 0.937
C: 0.574 0.742 0.792
C: 0.739 0.844 0.080
C: 0.988 0.992 0.076
I: 0.202 0.728 0.395
I: 0.798 0.272 0.605
N: 0.199 0.117 0.216
N: 0.801 0.883 0.784